K2LaPb | PBE-GGA | optimized geometry

- SG = P4/mmm
- E_tot (eV per atom) = -2.480
- ρ (Mg/m³) = 4.2
- energy relative to the elements (eV per atom) = 0.227

Cell: 3.586 3.586 13.079 Å, 90.00 90.00 90.00°
Fractional coordinates of all 4 atoms:
K 0.000 0.000 0.215
K 0.000 0.000 0.785
La 0.500 0.500 0.500
Pb 0.500 0.500 0.000